Record 1
Here is Zn3Cd at its PBEsol-relaxed geometry from Alexandria via LeMat-Bulk. Energies are from SCAN.

a = 2.6763 Å, b = 3.7843 Å, c = 6.3872 Å
α = 90.00°, β = 90.00°, γ = 90.00°
Last column: nearest neighbours and their distance in Å.
Positions (direct):
Zn  0.0000  0.0000  0.0000  10 Zn 2.68-2.72
Zn  0.5000  0.5000  0.2221  7 Zn 2.68-2.84, 4 Cd 2.92
Zn  0.5000  0.5000  0.7779  7 Zn 2.68-2.84, 4 Cd 2.92
Cd  0.0000  0.0000  0.5000  2 Cd 2.68, 8 Zn 2.92

Results
Total magnetization: 0.00 Bohr magnetons per cell
Energy relative to the elements: 0.085 eV per atom
E: -17.6552 eV/atom
Mass density: 7.92 g/cm3
D(E_F): 0.31 states/eV/atom
Space-group type: Pmmm, No. 47

=====

Record 2
Here is ZnCd2 at its PBEsol-relaxed geometry from Alexandria via LeMat-Bulk. Energies are from SCAN.

a = 3.0854 Å, b = 3.0854 Å, c = 6.8597 Å
α = 90.00°, β = 90.00°, γ = 120.00°
Last column: nearest neighbours and their distance in Å.
Positions (direct):
Zn  0.0000  0.0000  0.0000  6 Cd 2.82, 6 Zn 3.09
Cd  0.3333  0.6667  0.6808  3 Zn 2.82, 9 Cd 3.05-3.09
Cd  0.6667  0.3333  0.3192  3 Zn 2.82, 9 Cd 3.05-3.09

Results
Total magnetization: 0.00 Bohr magnetons per cell
Energy relative to the elements: 0.087 eV per atom
E: -24.6946 eV/atom
Mass density: 8.52 g/cm3
D(E_F): 0.32 states/eV/atom
Space-group type: P-3m1, No. 164

=====

Record 3
Here is Zn3Cd at its PBEsol-relaxed geometry from Alexandria via LeMat-Bulk. Energies are from SCAN.

a = 2.9241 Å, b = 4.6684 Å, c = 4.8146 Å
α = 90.00°, β = 95.27°, γ = 90.00°
Last column: nearest neighbours and their distance in Å.
Positions (direct):
Zn  0.0000  0.0000  0.0000  6 Zn 2.67-2.92, 4 Cd 2.70-2.93
Zn  0.2487  0.5000  0.2361  5 Zn 2.58-2.82, 2 Cd 2.73
Zn  0.7513  0.5000  0.7639  5 Zn 2.58-2.82, 2 Cd 2.73
Cd  0.5000  0.0000  0.5000  8 Zn 2.70-2.93, 2 Cd 2.92

Results
Total magnetization: 0.00 Bohr magnetons per cell
Energy relative to the elements: 0.092 eV per atom
E: -17.6479 eV/atom
Mass density: 7.83 g/cm3
D(E_F): 0.22 states/eV/atom
Space-group type: P2/m, No. 10

=====

Record 4
Here is Zn5Cd at its PBEsol-relaxed geometry from Alexandria via LeMat-Bulk. Energies are from SCAN.

a = 5.0865 Å, b = 5.0865 Å, c = 5.0865 Å
α = 60.00°, β = 60.00°, γ = 60.00°
Last column: nearest neighbours and their distance in Å.
Positions (direct):
Zn  0.0000  0.0000  0.0000  12 Zn 2.98, 4 Cd 3.11
Zn  0.1243  0.6252  0.6252  6 Zn 2.54-2.55
Zn  0.6252  0.1243  0.6252  6 Zn 2.54-2.55
Zn  0.6252  0.6252  0.1243  6 Zn 2.54-2.55
Zn  0.6252  0.6252  0.6252  6 Zn 2.54-2.55
Cd  0.2500  0.2500  0.2500  16 Zn 2.98-3.11

Results
Total magnetization: 0.00 Bohr magnetons per cell
Energy relative to the elements: 0.084 eV per atom
E: -16.2478 eV/atom
Mass density: 7.84 g/cm3
D(E_F): 0.30 states/eV/atom
Space-group type: F-43m, No. 216
Energy above the most stable polymorph in this dataset: 1.4 kJ/mol of atoms

=====

Record 5
Here is Zn3Cd4 at its PBEsol-relaxed geometry from Alexandria via LeMat-Bulk. Energies are from SCAN.

a = 10.0881 Å, b = 10.0881 Å, c = 10.0881 Å
α = 159.24°, β = 159.24°, γ = 29.52°
Last column: nearest neighbours and their distance in Å.
Positions (direct):
Zn  0.0000  0.0000  0.0000  10 Cd 2.87-2.93
Zn  0.2833  0.2833  0.0000  6 Cd 2.66-2.91, 4 Zn 2.88
Zn  0.7167  0.7167  0.0000  6 Cd 2.66-2.91, 4 Zn 2.88
Cd  0.1470  0.1470  0.0000  6 Zn 2.66-2.91, 4 Cd 2.96
Cd  0.4283  0.4283  0.0000  5 Cd 2.80-2.96, 5 Zn 2.83-2.93
Cd  0.5717  0.5717  0.0000  5 Cd 2.80-2.96, 5 Zn 2.83-2.93
Cd  0.8530  0.8530  0.0000  6 Zn 2.66-2.91, 4 Cd 2.96

Results
Total magnetization: 0.00 Bohr magnetons per cell
Energy relative to the elements: 0.089 eV per atom
E: -23.0833 eV/atom
Mass density: 8.32 g/cm3
D(E_F): 0.28 states/eV/atom
Space-group type: I4/mmm, No. 139

=====

Record 6
Here is ZnCd2 at its PBEsol-relaxed geometry from Alexandria via LeMat-Bulk. Energies are from SCAN.

a = 8.6378 Å, b = 8.6378 Å, c = 8.6378 Å
α = 60.00°, β = 60.00°, γ = 60.00°
Last column: nearest neighbours and their distance in Å.
Positions (direct):
Zn  0.1389  0.7870  0.7870  6 Cd 2.68-2.82
Zn  0.2130  0.2130  0.2130  6 Cd 2.68-2.82
Zn  0.2130  0.2130  0.8611  6 Cd 2.68-2.82
Zn  0.2130  0.8611  0.2130  6 Cd 2.68-2.82
Zn  0.7870  0.1389  0.7870  6 Cd 2.68-2.82
Zn  0.7870  0.7870  0.1389  6 Cd 2.68-2.82
Zn  0.7870  0.7870  0.7870  6 Cd 2.68-2.82
Zn  0.8611  0.2130  0.2130  6 Cd 2.68-2.82
Cd  0.0000  0.0000  0.0000  6 Zn 2.68
Cd  0.0000  0.0000  0.5000  6 Zn 2.68
Cd  0.0000  0.5000  0.0000  6 Zn 2.68
Cd  0.1881  0.1881  0.5619  4 Zn 2.82-3.14, 2 Cd 3.15
Cd  0.1881  0.5619  0.1881  4 Zn 2.82-3.14, 2 Cd 3.15
Cd  0.1881  0.5619  0.5619  4 Zn 2.82-3.14, 2 Cd 3.15
Cd  0.4381  0.4381  0.8119  4 Zn 2.82-3.14, 2 Cd 3.15
Cd  0.4381  0.8119  0.4381  4 Zn 2.82-3.14, 2 Cd 3.15
Cd  0.4381  0.8119  0.8119  4 Zn 2.82-3.14, 2 Cd 3.15
Cd  0.5000  0.0000  0.0000  6 Zn 2.68
Cd  0.5619  0.1881  0.1881  4 Zn 2.82-3.14, 2 Cd 3.15
Cd  0.5619  0.1881  0.5619  4 Zn 2.82-3.14, 2 Cd 3.15
Cd  0.5619  0.5619  0.1881  4 Zn 2.82-3.14, 2 Cd 3.15
Cd  0.8119  0.4381  0.4381  4 Zn 2.82-3.14, 2 Cd 3.15
Cd  0.8119  0.4381  0.8119  4 Zn 2.82-3.14, 2 Cd 3.15
Cd  0.8119  0.8119  0.4381  4 Zn 2.82-3.14, 2 Cd 3.15

Results
Total magnetization: 0.00 Bohr magnetons per cell
Energy relative to the elements: 0.096 eV per atom
E: -24.6855 eV/atom
Mass density: 8.46 g/cm3
D(E_F): 0.36 states/eV/atom
Space-group type: Fd-3m, No. 227

=====

Record 7
Here is Zn3Cd2 at its PBEsol-relaxed geometry from Alexandria via LeMat-Bulk. Energies are from SCAN.

a = 11.2054 Å, b = 11.2054 Å, c = 11.2054 Å
α = 15.32°, β = 15.32°, γ = 15.32°
Last column: nearest neighbours and their distance in Å.
Positions (direct):
Zn  0.0000  0.0000  0.0000  6 Cd 2.85, 6 Zn 2.99
Zn  0.1965  0.1965  0.1965  3 Zn 2.62, 3 Cd 2.86
Zn  0.8035  0.8035  0.8035  3 Zn 2.62, 3 Cd 2.86
Cd  0.4015  0.4015  0.4015  6 Zn 2.85-2.86, 6 Cd 2.99
Cd  0.5985  0.5985  0.5985  6 Zn 2.85-2.86, 6 Cd 2.99

Results
Total magnetization: 0.00 Bohr magnetons per cell
Energy relative to the elements: 0.112 eV per atom
E: -20.1630 eV/atom
Mass density: 8.17 g/cm3
D(E_F): 0.28 states/eV/atom
Space-group type: R-3m, No. 166

=====

Record 8
Here is Zn3Cd at its PBEsol-relaxed geometry from Alexandria via LeMat-Bulk. Energies are from SCAN.

a = 8.9385 Å, b = 8.9385 Å, c = 8.9385 Å
α = 18.72°, β = 18.72°, γ = 18.72°
Last column: nearest neighbours and their distance in Å.
Positions (direct):
Zn  0.0000  0.0000  0.0000  12 Zn 2.64-2.91
Zn  0.2560  0.2560  0.2560  9 Zn 2.64-2.91, 3 Cd 2.89
Zn  0.7440  0.7440  0.7440  9 Zn 2.64-2.91, 3 Cd 2.89
Cd  0.5000  0.5000  0.5000  6 Zn 2.89, 6 Cd 2.91

Results
Total magnetization: 0.00 Bohr magnetons per cell
Energy relative to the elements: 0.095 eV per atom
E: -17.6455 eV/atom
Mass density: 7.97 g/cm3
D(E_F): 0.27 states/eV/atom
Space-group type: R-3m, No. 166

=====

Record 9
Here is ZnCd8 at its PBEsol-relaxed geometry from Alexandria via LeMat-Bulk. Energies are from SCAN.

a = 6.8309 Å, b = 6.8309 Å, c = 6.8309 Å
α = 95.72°, β = 95.72°, γ = 143.21°
Last column: nearest neighbours and their distance in Å.
Positions (direct):
Zn  0.0000  0.0000  0.0000  12 Cd 3.02
Cd  0.0000  0.3294  0.3294  1 Zn 3.02, 11 Cd 3.03-3.13
Cd  0.0000  0.6706  0.6706  1 Zn 3.02, 11 Cd 3.03-3.13
Cd  0.3294  0.0000  0.3294  1 Zn 3.02, 11 Cd 3.03-3.13
Cd  0.3369  0.3369  0.6739  10 Cd 2.99-3.12, 2 Zn 3.02
Cd  0.3369  0.6631  0.0000  10 Cd 2.99-3.12, 2 Zn 3.02
Cd  0.6631  0.3369  0.0000  10 Cd 2.99-3.12, 2 Zn 3.02
Cd  0.6631  0.6631  0.3261  10 Cd 2.99-3.12, 2 Zn 3.02
Cd  0.6706  0.0000  0.6706  1 Zn 3.02, 11 Cd 3.03-3.13

Results
Total magnetization: 0.00 Bohr magnetons per cell
Energy relative to the elements: 0.052 eV per atom
E: -28.4843 eV/atom
Mass density: 8.84 g/cm3
D(E_F): 0.33 states/eV/atom
Space-group type: I4/mmm, No. 139

=====

Record 10
Here is Zn2Cd at its PBEsol-relaxed geometry from Alexandria via LeMat-Bulk. Energies are from SCAN.

a = 9.0628 Å, b = 9.0628 Å, c = 9.0628 Å
α = 162.49°, β = 152.07°, γ = 33.16°
Last column: nearest neighbours and their distance in Å.
Positions (direct):
Zn  0.2880  0.0380  0.2500  5 Zn 2.56-2.76
Zn  0.4396  0.1896  0.2500  5 Zn 2.51-2.76
Zn  0.5604  0.8104  0.7500  5 Zn 2.51-2.76
Zn  0.7120  0.9620  0.7500  5 Zn 2.56-2.76
Cd  0.1278  0.3778  0.7500  2 Cd 2.76, 8 Zn 2.84-2.97
Cd  0.8722  0.6222  0.2500  2 Cd 2.76, 8 Zn 2.84-2.97

Results
Total magnetization: 0.00 Bohr magnetons per cell
Energy relative to the elements: 0.105 eV per atom
E: -19.0430 eV/atom
Mass density: 7.71 g/cm3
D(E_F): 0.24 states/eV/atom
Space-group type: Imma, No. 74